[1]
VASP calculation (PBE) on an optimized crystal structure of LiBiBr3.

Values from the calculation:
Its energy above the most stable polymorph in this dataset is 1.83 eV per formula unit. As for the total energy: -13.64 eV/cell. Its mass density is 3.689 g/cm³. The uncorrected formation energy is -565.5 meV/atom. The total magnetic moment is 0.00 μB/cell.

Geometry as extended XYZ:
```
5
Lattice="5.8970 0.0000 0.0000 0.0000 5.8970 0.0000 0.0000 0.0000 5.8970" Properties=species:S:1:pos:R:3 pbc="T T T"
Li 0.0000 0.0000 0.0000
Bi 2.9485 2.9485 2.9485
Br 0.0000 2.9485 2.9485
Br 2.9485 0.0000 2.9485
Br 2.9485 2.9485 0.0000
```

***

[2]
VASP calculation (PBE) on an optimized crystal structure of Mg5AlTl.

Values from the calculation:
Its energy above the most stable polymorph in this dataset is 0.40 eV per formula unit. As for the total energy: -26.64 eV/cell. Its mass density is 3.479 g/cm³. The formation energy is 0.109 eV per atom. The total magnetic moment is 0.00 μB/cell.

Geometry as extended XYZ:
```
14
Lattice="5.2003 -5.0191 0.0000 5.2003 5.0191 0.0000 -3.4799 0.0000 6.4532" Properties=species:S:1:pos:R:3 pbc="T T T"
Mg 2.5904 4.2409 4.8399
Mg 2.2834 0.9411 0.7936
Mg 1.5360 1.3883 5.9262
Mg 0.5434 -0.9411 4.0202
Mg 3.6448 1.3883 3.7535
Mg 3.2760 -1.3883 2.6996
Mg 6.3774 0.9411 2.4330
Mg 5.3848 -1.3883 0.5270
Mg 4.6374 -0.9411 5.6596
Mg 4.3304 -4.2409 1.6133
Al 4.3304 3.0642 1.6133
Al 2.5904 -3.0642 4.8399
Tl 0.8602 2.5096 3.2266
Tl 2.6002 -2.5096 0.0000
```

***

[3]
VASP calculation (PBE) on an optimized crystal structure of La2Ga3Rh.

Values from the calculation:
As for the total energy: -30.61 eV/cell. Its mass density is 7.352 g/cm³. The formation energy is -0.721 eV per atom. The total magnetic moment is 0.00 μB/cell.

Geometry as extended XYZ:
```
6
Lattice="5.2820 -2.2573 0.0000 5.2820 2.2573 0.0000 -4.8692 0.0000 5.5875" Properties=species:S:1:pos:R:3 pbc="T T T"
La 0.0000 0.0000 0.0000
La -1.8604 0.0000 3.3975
Ga 2.9877 0.0000 1.1938
Ga 7.3852 0.0000 0.0555
Ga 5.6842 0.0000 2.2685
Rh 1.1971 0.0000 3.3390
```

***

[4]
VASP calculation (PBE) on an optimized crystal structure of MnBe2W.

Values from the calculation:
Its energy above the most stable polymorph in this dataset is 0.72 eV per formula unit. As for the total energy: -29.03 eV/cell. Its mass density is 9.376 g/cm³. The formation energy is 0.137 eV per atom. The total magnetic moment is 0.49 μB/cell.

Geometry as extended XYZ:
```
4
Lattice="2.9219 0.0000 0.0000 0.0000 2.9219 0.0000 0.0000 0.0000 5.3270" Properties=species:S:1:pos:R:3 pbc="T T T"
Mn 0.0000 0.0000 0.0000
Be 0.0000 0.0000 2.8896
Be 1.4610 1.4610 3.9876
W 1.4610 1.4610 1.2959
```

***

[5]
VASP calculation (PBE) on an optimized crystal structure of ZnP2Ru.

Values from the calculation:
As for the total energy: -19.64 eV/cell. Its mass density is 6.851 g/cm³. The formation energy is 0.432 eV per atom. The total magnetic moment is 0.00 μB/cell.

Geometry as extended XYZ:
```
4
Lattice="0.0000 3.0251 3.0251 3.0251 0.0000 3.0251 3.0251 3.0251 0.0000" Properties=species:S:1:pos:R:3 pbc="T T T"
Zn 0.0000 0.0000 0.0000
P 1.5126 1.5126 1.5126
P 3.0251 3.0251 3.0251
Ru 4.5377 4.5377 4.5377
```

***

[6]
VASP calculation (PBE) on an optimized crystal structure of ZnBr3O.

Values from the calculation:
Its energy above the most stable polymorph in this dataset is 0.52 eV per formula unit. As for the total energy: -25.92 eV/cell. Its mass density is 3.508 g/cm³. The uncorrected formation energy is -341.9 meV/atom. The total magnetic moment is 0.00 μB/cell.

Geometry as extended XYZ:
```
10
Lattice="6.5011 0.0000 0.0000 2.2153 6.2767 0.0000 2.3316 0.5603 7.4507" Properties=species:S:1:pos:R:3 pbc="T T T"
Zn 0.0000 0.0000 0.0000
Zn 3.7415 4.2802 5.0971
Br 3.5763 1.8498 5.6350
Br 4.2116 4.7014 0.6478
Br 5.7807 4.7858 4.0520
Br 8.1975 6.6604 6.1574
Br 5.8177 1.3143 1.7514
Br 8.5254 4.0477 3.0483
O 3.3122 3.4367 1.8176
O 9.7936 5.6519 6.4454
```

***

[7]
VASP calculation (PBE) on an optimized crystal structure of Rb3TlBi2Se6.

Values from the calculation:
As for the total energy: -42.39 eV/cell. Its mass density is 5.726 g/cm³. The uncorrected formation energy is -704.0 meV/atom. The total magnetic moment is 0.00 μB/cell.

Geometry as extended XYZ:
```
12
Lattice="3.7522 -6.4970 0.0000 3.7522 6.4970 0.0000 -2.5028 0.0000 8.0452" Properties=species:S:1:pos:R:3 pbc="T T T"
Rb 0.0000 0.0000 0.0000
Rb 3.7522 2.1916 0.0000
Rb 3.7522 -2.1916 0.0000
Tl 2.5008 0.0000 4.0226
Bi 2.5008 4.3352 4.0226
Bi 2.5008 -4.3352 4.0226
Se 1.2719 2.1289 2.4158
Se 0.0404 0.0000 5.6375
Se 1.2719 -2.1289 2.4158
Se 3.7296 2.1289 5.6293
Se 4.9611 0.0000 2.4077
Se 3.7296 -2.1289 5.6293
```

***

[8]
VASP calculation (PBE) on an optimized crystal structure of Sc2SnGe2.

Values from the calculation:
As for the total energy: -28.27 eV/cell. Its mass density is 5.407 g/cm³. The formation energy is -0.473 eV per atom. The total magnetic moment is 0.00 μB/cell.

Geometry as extended XYZ:
```
5
Lattice="-1.8391 1.8391 8.0327 1.8391 -1.8391 8.0327 1.8391 1.8391 -8.0327" Properties=species:S:1:pos:R:3 pbc="T T T"
Sc 0.0000 0.0000 1.8262
Sc 0.0000 0.0000 14.2392
Sn 0.0000 0.0000 8.0327
Ge 1.8391 0.0000 4.0163
Ge 0.0000 1.8391 4.0163
```

***

Number 6 is which compound?
ZnBr3O